# 1
Compound: BiSbP
Source: Alexandria
Functional: PBE
Structure: relaxed

Output
**Total moment**: 0.00 μB per formula unit
**Energy relative to the elements, uncorrected**: 0.203 eV/atom
**Mass density**: 7.62 g/cm3
**VASP energy**: -4.268 eV/atom

abc: 6.423 3.704 6.918
angles: 90.00 106.59 90.00
Space group Cm (No. 8)
One atom of each set of equivalent atoms:
Bi1 0.000 0.000 0.000 x2
Sb1 0.493 0.000 0.441 x2
P1 0.234 0.000 0.685 x2



# 2
Compound: Bi2SbP
Source: Alexandria
Functional: PBE
Structure: relaxed

Output
**Total moment**: 0.00 μB per formula unit
**Energy relative to the elements, uncorrected**: 0.369 eV/atom
**Mass density**: 8.97 g/cm3
**VASP energy**: -3.955 eV/atom

abc: 7.505 7.505 7.505
angles: 90.00 90.00 90.00
Space group Fm-3m (No. 225)
One atom of each set of equivalent atoms:
Bi1 0.250 0.250 0.250 x8
Sb1 0.000 0.000 0.000 x4
P1 0.000 0.000 0.500 x4



# 3
Compound: BiSbP2
Source: Alexandria
Functional: PBE
Structure: relaxed

Output
**Total moment**: 0.00 μB per formula unit
**Energy relative to the elements, uncorrected**: 0.483 eV/atom
**Mass density**: 7.42 g/cm3
**VASP energy**: -4.223 eV/atom

abc: 7.058 7.058 7.058
angles: 90.00 90.00 90.00
Space group Fm-3m (No. 225)
One atom of each set of equivalent atoms:
Bi1 0.000 0.000 0.000 x4
Sb1 0.000 0.000 0.500 x4
P1 0.250 0.250 0.250 x8



Number 1: energy above the most stable polymorph in this dataset 0.35 eV per formula unit. Number 2: energy above the most stable polymorph in this dataset 1.02 eV per formula unit. Number 3: energy above the most stable polymorph in this dataset 0.48 eV per formula unit.